Entry 1:
The following is a PBE calculation of crystalline YbPtO3 at its relaxed geometry, from Alexandria.

Lattice parameters (Å, degrees): 4.0231 4.0231 4.0231 90.00 90.00 90.00
Closest atoms and distances in Å follow each position.
Atoms (fractional coordinates):
O1 0.5000 0.5000 0.0000  2 Pt 2.01
O2 0.0000 0.5000 0.5000  2 Pt 2.01
O3 0.5000 0.0000 0.5000  2 Pt 2.01
Yb1 0.0000 0.0000 0.0000  12 O 2.84
Pt1 0.5000 0.5000 0.5000  6 O 2.01

Calculated values
V: 65 Å³/f.u.
Size of the total moment: 0.56 Bohr magnetons per cell
DOS at the Fermi energy: 3.487 states/eV per atom
Energy relative to the elements, uncorrected: -587 kJ/mol of formula units

Entry 2:
The following is a PBE calculation of crystalline Zn3Pt5O12 at its relaxed geometry, from Alexandria.

Lattice parameters (Å, degrees): 11.0842 11.0842 11.0842 109.47 109.47 109.47
Closest atoms and distances in Å follow each position.
Atoms (fractional coordinates):
Zn1 0.8750 0.7500 0.1250  4 O 2.00
Zn2 0.2500 0.1250 0.3750  4 O 2.00
Zn3 0.6250 0.2500 0.3750  4 O 2.00
Zn4 0.3750 0.7500 0.6250  4 O 2.00
Zn5 0.8750 0.1250 0.2500  4 O 2.00
Zn6 0.7500 0.8750 0.6250  4 O 2.00
Zn7 0.1250 0.2500 0.8750  4 O 2.00
Zn8 0.3750 0.6250 0.2500  4 O 2.00
Zn9 0.6250 0.3750 0.7500  4 O 2.00
Zn10 0.1250 0.8750 0.7500  4 O 2.00
Zn11 0.7500 0.3750 0.1250  4 O 2.00
Zn12 0.2500 0.6250 0.8750  4 O 2.00
O1 0.9842 0.1410 0.6573  1 Zn 2.00, 2 Pt 2.01-2.02
O2 0.1410 0.9842 0.1573  1 Zn 2.00, 2 Pt 2.01-2.02
O3 0.6573 0.0163 0.1731  1 Zn 2.00, 2 Pt 2.01-2.02
O4 0.8427 0.5158 0.8590  1 Zn 2.00, 2 Pt 2.01-2.02
O5 0.9842 0.8431 0.8269  1 Zn 2.00, 2 Pt 2.01-2.02
O6 0.5163 0.3431 0.8590  1 Zn 2.00, 2 Pt 2.01-2.02
O7 0.6410 0.6573 0.4842  1 Zn 2.00, 2 Pt 2.01-2.02
O8 0.6410 0.9837 0.6569  1 Zn 2.00, 2 Pt 2.01-2.02
O9 0.1731 0.5163 0.6573  1 Zn 2.00, 2 Pt 2.01-2.02
O10 0.3431 0.5163 0.3590  1 Zn 2.00, 2 Pt 2.01-2.02
O11 0.5158 0.8427 0.3590  1 Zn 2.00, 2 Pt 2.01-2.02
O12 0.6569 0.1731 0.5158  1 Zn 2.00, 2 Pt 2.01-2.02
O13 0.1731 0.6569 0.0158  1 Zn 2.00, 2 Pt 2.01-2.02
O14 0.3431 0.8269 0.4842  1 Zn 2.00, 2 Pt 2.01-2.02
O15 0.4837 0.6569 0.1410  1 Zn 2.00, 2 Pt 2.01-2.02
O16 0.3427 0.9837 0.8269  1 Zn 2.00, 2 Pt 2.01-2.02
O17 0.6573 0.6410 0.9842  1 Zn 2.00, 2 Pt 2.01-2.02
O18 0.8431 0.9842 0.3269  1 Zn 2.00, 2 Pt 2.01-2.02
O19 0.1410 0.1569 0.4837  1 Zn 2.00, 2 Pt 2.01-2.02
O20 0.9837 0.6410 0.1569  1 Zn 2.00, 2 Pt 2.01-2.02
O21 0.1573 0.6731 0.5163  1 Zn 2.00, 2 Pt 2.01-2.02
O22 0.3427 0.3590 0.0158  1 Zn 2.00, 2 Pt 2.01-2.02
O23 0.0158 0.8590 0.3427  1 Zn 2.00, 2 Pt 2.01-2.02
O24 0.9837 0.3427 0.3269  1 Zn 2.00, 2 Pt 2.01-2.02
O25 0.8269 0.4837 0.3427  1 Zn 2.00, 2 Pt 2.01-2.02
O26 0.6731 0.5158 0.1569  1 Zn 2.00, 2 Pt 2.01-2.02
O27 0.0163 0.3590 0.8431  1 Zn 2.00, 2 Pt 2.01-2.02
O28 0.1569 0.0158 0.6731  1 Zn 2.00, 2 Pt 2.01-2.02
O29 0.1573 0.4842 0.1410  1 Zn 2.00, 2 Pt 2.01-2.02
O30 0.8269 0.3431 0.9842  1 Zn 2.00, 2 Pt 2.01-2.02
O31 0.5158 0.6731 0.6569  1 Zn 2.00, 2 Pt 2.01-2.02
O32 0.5163 0.1731 0.1573  1 Zn 2.00, 2 Pt 2.01-2.02
O33 0.3269 0.4842 0.8431  1 Zn 2.00, 2 Pt 2.01-2.02
O34 0.4837 0.8269 0.8427  1 Zn 2.00, 2 Pt 2.01-2.02
O35 0.3590 0.3427 0.5158  1 Zn 2.00, 2 Pt 2.01-2.02
O36 0.8590 0.0158 0.8427  1 Zn 2.00, 2 Pt 2.01-2.02
O37 0.0158 0.1569 0.1731  1 Zn 2.00, 2 Pt 2.01-2.02
O38 0.3590 0.0163 0.3431  1 Zn 2.00, 2 Pt 2.01-2.02
O39 0.6731 0.1573 0.0163  1 Zn 2.00, 2 Pt 2.01-2.02
O40 0.8590 0.8431 0.5163  1 Zn 2.00, 2 Pt 2.01-2.02
O41 0.3269 0.8427 0.9837  1 Zn 2.00, 2 Pt 2.01-2.02
O42 0.6569 0.4837 0.6410  1 Zn 2.00, 2 Pt 2.01-2.02
O43 0.4842 0.1573 0.6410  1 Zn 2.00, 2 Pt 2.01-2.02
O44 0.8427 0.3269 0.4837  1 Zn 2.00, 2 Pt 2.01-2.02
O45 0.1569 0.1410 0.9837  1 Zn 2.00, 2 Pt 2.01-2.02
O46 0.0163 0.6573 0.6731  1 Zn 2.00, 2 Pt 2.01-2.02
O47 0.8431 0.8590 0.0163  1 Zn 2.00, 2 Pt 2.01-2.02
O48 0.4842 0.3269 0.3431  1 Zn 2.00, 2 Pt 2.01-2.02
Pt1 0.3750 0.1250 0.7500  4 O 2.01
Pt2 0.8750 0.6250 0.7500  4 O 2.01
Pt3 0.7500 0.1250 0.8750  4 O 2.01
Pt4 0.2500 0.8750 0.1250  4 O 2.01
Pt5 0.5000 0.5000 0.0000  6 O 2.02
Pt6 0.7500 0.6250 0.3750  4 O 2.01
Pt7 0.6250 0.8750 0.2500  4 O 2.01
Pt8 0.2500 0.3750 0.6250  4 O 2.01
Pt9 0.6250 0.7500 0.8750  4 O 2.01
Pt10 0.0000 0.5000 0.5000  6 O 2.02
Pt11 0.3750 0.2500 0.1250  4 O 2.01
Pt12 0.0000 0.0000 0.5000  6 O 2.02
Pt13 0.5000 0.5000 0.5000  6 O 2.02
Pt14 0.1250 0.3750 0.2500  4 O 2.01
Pt15 0.0000 0.5000 0.0000  6 O 2.02
Pt16 0.0000 0.0000 0.0000  6 O 2.02
Pt17 0.5000 0.0000 0.5000  6 O 2.02
Pt18 0.5000 0.0000 0.0000  6 O 2.02
Pt19 0.1250 0.7500 0.3750  4 O 2.01
Pt20 0.8750 0.2500 0.6250  4 O 2.01

Calculated values
V: 262 Å³/f.u.
Size of the total moment: 0.00 Bohr magnetons per cell
DOS at the Fermi energy: 0.478 states/eV per atom
Energy relative to the elements, uncorrected: -909 kJ/mol of formula units

Entry 3:
The following is a PBE calculation of crystalline Zn2PtO4 at its relaxed geometry, from Alexandria.

Lattice parameters (Å, degrees): 6.1711 6.1711 6.1711 122.15 119.49 88.60
Closest atoms and distances in Å follow each position.
Atoms (fractional coordinates):
Zn1 0.0000 0.0000 0.5000  6 O 2.08-2.22
Zn2 0.5996 0.8496 0.7500  4 O 1.97-2.10
Zn3 0.0000 0.5000 0.0000  6 O 2.08-2.22
Zn4 0.4004 0.1504 0.2500  4 O 1.97-2.10
O1 0.2129 0.7317 0.4812  3 Zn 1.97-2.08, 1 Pt 2.05
O2 0.7492 0.2726 0.0233  2 Pt 2.06, 2 Zn 2.10-2.22
O3 0.2495 0.2683 0.9812  3 Zn 1.97-2.08, 1 Pt 2.05
O4 0.7871 0.2683 0.5188  3 Zn 1.97-2.08, 1 Pt 2.05
O5 0.2508 0.2741 0.5233  2 Pt 2.06, 2 Zn 2.10-2.22
O6 0.2508 0.7274 0.9767  2 Pt 2.06, 2 Zn 2.10-2.22
O7 0.7492 0.7259 0.4767  2 Pt 2.06, 2 Zn 2.10-2.22
O8 0.7505 0.7317 0.0188  3 Zn 1.97-2.08, 1 Pt 2.05
Pt1 0.5000 0.5000 0.0000  6 O 2.05-2.06
Pt2 0.0000 0.5000 0.5000  6 O 2.05-2.06

Calculated values
V: 82 Å³/f.u.
Size of the total moment: 0.00 Bohr magnetons per cell
Energy relative to the elements, uncorrected: -692 kJ/mol of formula units

Entry 4:
The following is a PBE calculation of crystalline ZnPt3O8 at its relaxed geometry, from Alexandria.

Lattice parameters (Å, degrees): 6.3128 6.3124 6.0185 122.07 90.00 120.00
Closest atoms and distances in Å follow each position.
Atoms (fractional coordinates):
Pt1 0.0000 0.5000 0.0000  6 O 2.01-2.07
Pt2 0.5000 0.0000 0.0000  6 O 2.01-2.07
Pt3 0.5000 0.5000 0.0000  6 O 2.01-2.07
O1 0.2641 0.5281 0.7947  3 Pt 2.07
O2 0.7602 0.5205 0.8043  2 Pt 2.01, 1 Zn 2.11
O3 0.7597 0.0412 0.8036  2 Pt 2.01, 1 Zn 2.12
O4 0.7185 0.9588 0.1964  2 Pt 2.01, 1 Zn 2.12
O5 0.2403 0.9588 0.1964  2 Pt 2.01, 1 Zn 2.12
O6 0.7359 0.4719 0.2053  3 Pt 2.07
O7 0.2398 0.4795 0.1957  2 Pt 2.01, 1 Zn 2.11
O8 0.2815 0.0412 0.8036  2 Pt 2.01, 1 Zn 2.12
Zn1 0.0000 0.0000 0.0000  6 O 2.11-2.12

Calculated values
V: 164 Å³/f.u.
Size of the total moment: 2.08 Bohr magnetons per cell
DOS at the Fermi energy: 0.300 states/eV per atom
Energy relative to the elements, uncorrected: -579 kJ/mol of formula units

Entry 5:
The following is a PBE calculation of crystalline ZnPtO3 at its relaxed geometry, from Alexandria.

Lattice parameters (Å, degrees): 2.9065 5.3258 7.6660 90.00 100.93 90.00
Closest atoms and distances in Å follow each position.
Atoms (fractional coordinates):
Zn1 0.3144 0.5160 0.6289  5 O 2.04-2.09
Zn2 0.6856 0.0160 0.3711  5 O 2.04-2.09
Pt1 0.9182 0.9701 0.8365  4 O 1.90-2.07
Pt2 0.0818 0.4701 0.1635  4 O 1.90-2.07
O1 0.4519 0.7106 0.9038  2 Pt 2.07, 1 Zn 2.31
O2 0.8717 0.3019 0.7434  1 Pt 1.90, 2 Zn 2.04
O3 0.2003 0.2955 0.4005  1 Pt 2.01, 3 Zn 2.08-2.09
O4 0.7997 0.7955 0.5995  1 Pt 2.01, 3 Zn 2.08-2.09
O5 0.5481 0.2106 0.0962  2 Pt 2.07, 1 Zn 2.31
O6 0.1283 0.8019 0.2566  1 Pt 1.90, 2 Zn 2.04

Calculated values
V: 58 Å³/f.u.
Size of the total moment: 0.00 Bohr magnetons per cell
DOS at the Fermi energy: 0.310 states/eV per atom
Energy relative to the elements, uncorrected: -204 kJ/mol of formula units

Entry 6:
The following is a PBE calculation of crystalline ZnPt2O4 at its relaxed geometry, from Alexandria.

Lattice parameters (Å, degrees): 6.7475 5.5492 5.5492 68.31 52.56 52.56
Closest atoms and distances in Å follow each position.
Atoms (fractional coordinates):
Pt1 0.2500 0.5000 0.5000  4 O 2.03
Pt2 0.7500 0.5000 0.5000  4 O 2.03
Zn1 0.0000 0.0000 0.0000  4 O 1.99
O1 0.3194 0.6796 0.6817  1 Zn 1.99, 2 Pt 2.03
O2 0.9989 0.6817 0.3204  1 Zn 1.99, 2 Pt 2.03
O3 0.0011 0.3183 0.6796  1 Zn 1.99, 2 Pt 2.03
O4 0.6806 0.3204 0.3183  1 Zn 1.99, 2 Pt 2.03

Calculated values
V: 131 Å³/f.u.
Size of the total moment: 0.00 Bohr magnetons per cell
DOS at the Fermi energy: 0.702 states/eV per atom
Energy relative to the elements, uncorrected: -48 kJ/mol of formula units

Entry 7:
The following is a PBE calculation of crystalline ZnPtO3 at its relaxed geometry, from Alexandria.

Lattice parameters (Å, degrees): 3.8823 3.8823 3.8823 90.00 90.00 90.00
Closest atoms and distances in Å follow each position.
Atoms (fractional coordinates):
O1 0.0000 0.0000 0.5000  2 Zn 1.94
O2 0.5000 0.0000 0.0000  2 Zn 1.94
O3 0.0000 0.5000 0.0000  2 Zn 1.94
Pt1 0.5000 0.5000 0.5000  12 O 2.75
Zn1 0.0000 0.0000 0.0000  6 O 1.94

Calculated values
V: 59 Å³/f.u.
Size of the total moment: 3.68 Bohr magnetons per cell
DOS at the Fermi energy: 0.689 states/eV per atom
Energy relative to the elements, uncorrected: 198 kJ/mol of formula units

Entry 8:
The following is a PBE calculation of crystalline Zn6PtO6 at its relaxed geometry, from Alexandria.

Lattice parameters (Å, degrees): 5.6837 5.6837 5.6837 90.00 90.00 90.00
Closest atoms and distances in Å follow each position.
Atoms (fractional coordinates):
O1 0.7447 0.0000 0.5000  4 Zn 2.01
O2 0.0000 0.5000 0.7447  4 Zn 2.01
O3 0.0000 0.5000 0.2553  4 Zn 2.01
O4 0.2553 0.0000 0.5000  4 Zn 2.01
O5 0.5000 0.7447 0.0000  4 Zn 2.01
O6 0.5000 0.2553 0.0000  4 Zn 2.01
Pt1 0.0000 0.0000 0.0000  12 Zn 3.16, 12 O 3.19
Zn1 0.2449 0.5000 0.0000  4 O 2.01
Zn2 0.0000 0.2449 0.5000  4 O 2.01
Zn3 0.7551 0.5000 0.0000  4 O 2.01
Zn4 0.5000 0.0000 0.7551  4 O 2.01
Zn5 0.5000 0.0000 0.2449  4 O 2.01
Zn6 0.0000 0.7551 0.5000  4 O 2.01

Calculated values
V: 184 Å³/f.u.
Size of the total moment: 0.49 Bohr magnetons per cell
DOS at the Fermi energy: 0.717 states/eV per atom
Energy relative to the elements, uncorrected: -1209 kJ/mol of formula units

Entry 9:
The following is a PBE calculation of crystalline Zn2Pt2O7 at its relaxed geometry, from Alexandria.

Lattice parameters (Å, degrees): 7.0519 7.0519 7.0519 60.00 60.00 60.00
Closest atoms and distances in Å follow each position.
Atoms (fractional coordinates):
O1 0.7500 0.7500 0.7500  4 Zn 2.16
O2 0.2147 0.2147 0.7853  2 Pt 1.98
O3 0.2147 0.7853 0.2147  2 Pt 1.98
O4 0.7853 0.2147 0.2147  2 Pt 1.98
O5 0.0353 0.4647 0.4647  2 Pt 1.98
O6 0.7853 0.7853 0.2147  2 Pt 1.98
O7 0.2147 0.7853 0.7853  2 Pt 1.98
O8 0.4647 0.4647 0.0353  2 Pt 1.98
O9 0.0353 0.0353 0.4647  2 Pt 1.98
O10 0.7853 0.2147 0.7853  2 Pt 1.98
O11 0.0353 0.4647 0.0353  2 Pt 1.98
O12 0.4647 0.0353 0.4647  2 Pt 1.98
O13 0.4647 0.0353 0.0353  2 Pt 1.98
O14 0.5000 0.5000 0.5000  4 Zn 2.16
Zn1 0.6250 0.6250 0.1250  8 O 2.16-2.38
Zn2 0.1250 0.6250 0.6250  8 O 2.16-2.38
Zn3 0.6250 0.6250 0.6250  8 O 2.16-2.38
Zn4 0.6250 0.1250 0.6250  8 O 2.16-2.38
Pt1 0.1250 0.1250 0.1250  6 O 1.98
Pt2 0.6250 0.1250 0.1250  6 O 1.98
Pt3 0.1250 0.6250 0.1250  6 O 1.98
Pt4 0.1250 0.1250 0.6250  6 O 1.98

Calculated values
V: 124 Å³/f.u.
Size of the total moment: 1.80 Bohr magnetons per cell
DOS at the Fermi energy: 0.871 states/eV per atom
Energy relative to the elements, uncorrected: -729 kJ/mol of formula units

Entry 10:
The following is a PBE calculation of crystalline Zn2PtO4 at its relaxed geometry, from Alexandria.

Lattice parameters (Å, degrees): 3.2785 3.2785 10.5939 81.10 81.10 60.00
Closest atoms and distances in Å follow each position.
Atoms (fractional coordinates):
O1 0.3616 0.3616 0.9153  3 Pt 2.09
O2 0.1265 0.1265 0.6206  3 Zn 1.89
O3 0.8735 0.8735 0.3794  3 Zn 1.89
O4 0.6384 0.6384 0.0847  3 Pt 2.09
Zn1 0.2056 0.2056 0.3833  3 O 1.89
Zn2 0.7944 0.7944 0.6167  3 O 1.89
Pt1 0.0000 0.0000 0.0000  6 O 2.09

Calculated values
V: 97 Å³/f.u.
Size of the total moment: 0.00 Bohr magnetons per cell
DOS at the Fermi energy: 0.292 states/eV per atom
Energy relative to the elements, uncorrected: -610 kJ/mol of formula units

Entry 11:
The following is a PBE calculation of crystalline ZnPt2O6 at its relaxed geometry, from Alexandria.

Lattice parameters (Å, degrees): 4.3725 5.2289 5.2289 120.00 90.00 90.00
Closest atoms and distances in Å follow each position.
Atoms (fractional coordinates):
O1 0.7448 0.0000 0.3512  2 Pt 2.01, 1 Zn 2.15
O2 0.7448 0.6488 0.6488  2 Pt 2.01, 1 Zn 2.15
O3 0.2552 0.0000 0.6488  2 Pt 2.01, 1 Zn 2.15
O4 0.2552 0.6488 0.0000  2 Pt 2.01, 1 Zn 2.15
O5 0.7448 0.3512 0.0000  2 Pt 2.01, 1 Zn 2.15
O6 0.2552 0.3512 0.3512  2 Pt 2.01, 1 Zn 2.15
Zn1 0.0000 0.0000 0.0000  6 O 2.15
Pt1 0.5000 0.3333 0.6667  6 O 2.01
Pt2 0.5000 0.6667 0.3333  6 O 2.01

Calculated values
V: 104 Å³/f.u.
Size of the total moment: 2.01 Bohr magnetons per cell
DOS at the Fermi energy: 0.578 states/eV per atom
Energy relative to the elements, uncorrected: -465 kJ/mol of formula units

Entry 12:
The following is a PBE calculation of crystalline ZnPtO3 at its relaxed geometry, from Alexandria.

Lattice parameters (Å, degrees): 5.3056 5.3056 5.5744 61.58 61.58 60.00
Closest atoms and distances in Å follow each position.
Atoms (fractional coordinates):
O1 0.0505 0.4395 0.7427  1 Zn 2.02, 2 Pt 2.04-2.06
O2 0.9495 0.5605 0.2573  1 Zn 2.02, 2 Pt 2.04-2.06
O3 0.2327 0.9495 0.2573  1 Zn 2.02, 2 Pt 2.04-2.06
O4 0.7673 0.0505 0.7427  1 Zn 2.02, 2 Pt 2.04-2.06
O5 0.5605 0.2327 0.2573  1 Zn 2.02, 2 Pt 2.04-2.06
O6 0.4395 0.7673 0.7427  1 Zn 2.02, 2 Pt 2.04-2.06
Pt1 0.8410 0.8410 0.4771  6 O 2.04-2.06
Pt2 0.1590 0.1590 0.5229  6 O 2.04-2.06
Zn1 0.3717 0.3717 0.8850  3 O 2.02
Zn2 0.6283 0.6283 0.1150  3 O 2.02

Calculated values
V: 57 Å³/f.u.
Size of the total moment: 0.00 Bohr magnetons per cell
DOS at the Fermi energy: 0.000 states/eV per atom
Energy relative to the elements, uncorrected: -397 kJ/mol of formula units

Repeat the tenth record exactly.
The following is a PBE calculation of crystalline Zn2PtO4 at its relaxed geometry, from Alexandria.

Lattice parameters (Å, degrees): 3.2785 3.2785 10.5939 81.10 81.10 60.00
Closest atoms and distances in Å follow each position.
Atoms (fractional coordinates):
O1 0.3616 0.3616 0.9153  3 Pt 2.09
O2 0.1265 0.1265 0.6206  3 Zn 1.89
O3 0.8735 0.8735 0.3794  3 Zn 1.89
O4 0.6384 0.6384 0.0847  3 Pt 2.09
Zn1 0.2056 0.2056 0.3833  3 O 1.89
Zn2 0.7944 0.7944 0.6167  3 O 1.89
Pt1 0.0000 0.0000 0.0000  6 O 2.09

Calculated values
V: 97 Å³/f.u.
Size of the total moment: 0.00 Bohr magnetons per cell
DOS at the Fermi energy: 0.292 states/eV per atom
Energy relative to the elements, uncorrected: -610 kJ/mol of formula units

> Which value of V does entry 6 give?

131 Å³/f.u.

> Which of these has the highest energy relative to the elements, uncorrected?

number 7